No. 1
Below is crystalline SiAs2Br at its relaxed geometry, with properties calculated at the PBE level.

Cell lengths 4.8334, 4.8334, 6.8538 Å; angles 90.00, 90.00, 90.00 degrees
Space group I-4m2 (No. 119)
Symmetry-distinct sites (fractional):
Si (0.0000, 0.0000, 0.0000) x2
As (0.0000, 0.0000, 0.5000) x2
As (0.0000, 0.5000, 0.7500) x2
Br (0.0000, 0.5000, 0.2500) x2

Calculated values
Its density of states at the Fermi level is 3.5 states/eV/cell. The calculation puts the energy above the most stable polymorph in this dataset at 0.509 eV per atom. The total DFT energy (no corrections) comes out at -3.5330 eV/atom.

No. 2
Below is crystalline Tm6Ga2GeSe3 at its relaxed geometry, with properties calculated at the PBE level.

Cell lengths 18.5088, 4.0486, 8.1613 Å; angles 90.00, 112.90, 90.00 degrees
Space group C2/m (No. 12)
Symmetry-distinct sites (fractional):
Tm (0.0102, 0.0000, 0.2471) x4
Tm (0.1584, 0.5000, 0.6427) x4
Tm (0.1660, 0.5000, 0.1401) x4
Ga (0.1975, 0.0000, 0.4274) x4
Ge (0.0000, 0.5000, 0.0000) x2
Se (0.0000, 0.5000, 0.5000) x2
Se (0.1629, 0.0000, 0.8843) x4

Calculated values
Its density of states at the Fermi level is 7.3 states/eV/cell. The total DFT energy (no corrections) comes out at -5.2159 eV/atom.

No. 3
Below is crystalline PuCuAu at its relaxed geometry, with properties calculated at the PBE level.

Cell lengths 6.7958, 4.5883, 7.8364 Å; angles 90.00, 90.00, 90.00 degrees
Space group Pnma (No. 62)
Symmetry-distinct sites (fractional):
Pu (0.0016, 0.2500, 0.2105) x4
Cu (0.2008, 0.7500, 0.4160) x4
Au (0.2080, 0.2500, 0.5869) x4

Calculated values
Its density of states at the Fermi level is 44.4 states/eV/cell. The calculation puts the energy above the most stable polymorph in this dataset at 0.000 eV per atom. The total DFT energy (no corrections) comes out at -7.5089 eV/atom.

Please write out number 3 again, unchanged.
Below is crystalline PuCuAu at its relaxed geometry, with properties calculated at the PBE level.

Cell lengths 6.7958, 4.5883, 7.8364 Å; angles 90.00, 90.00, 90.00 degrees
Space group Pnma (No. 62)
Symmetry-distinct sites (fractional):
Pu (0.0016, 0.2500, 0.2105) x4
Cu (0.2008, 0.7500, 0.4160) x4
Au (0.2080, 0.2500, 0.5869) x4

Calculated values
Its density of states at the Fermi level is 44.4 states/eV/cell. The calculation puts the energy above the most stable polymorph in this dataset at 0.000 eV per atom. The total DFT energy (no corrections) comes out at -7.5089 eV/atom.

Please write out number 2 again, unchanged.
Below is crystalline Tm6Ga2GeSe3 at its relaxed geometry, with properties calculated at the PBE level.

Cell lengths 18.5088, 4.0486, 8.1613 Å; angles 90.00, 112.90, 90.00 degrees
Space group C2/m (No. 12)
Symmetry-distinct sites (fractional):
Tm (0.0102, 0.0000, 0.2471) x4
Tm (0.1584, 0.5000, 0.6427) x4
Tm (0.1660, 0.5000, 0.1401) x4
Ga (0.1975, 0.0000, 0.4274) x4
Ge (0.0000, 0.5000, 0.0000) x2
Se (0.0000, 0.5000, 0.5000) x2
Se (0.1629, 0.0000, 0.8843) x4

Calculated values
Its density of states at the Fermi level is 7.3 states/eV/cell. The total DFT energy (no corrections) comes out at -5.2159 eV/atom.

Question: The highest total DFT energy (no corrections) belongs to which entry?
Answer: SiAs2Br